No. 1
NaBe3Cr4O12: optimized geometry, PBE+U.

Calculated values
DFT total energy   -6.7861 eV/atom
ρ   4.13 g/cm³

Cell lengths 6.169, 6.169, 6.169 Å; angles 109.47, 109.47, 109.47 degrees
Site moments in Bohr magnetons follow the coordinates.
Fractional coordinates of all 20 atoms:
Cr1 0.000 0.000 0.500  2.54
Cr2 0.500 0.500 0.500  2.54
Cr3 0.500 0.000 0.000  2.54
Cr4 0.000 0.500 0.000  2.54
O1 0.676 0.836 0.512  -0.25
O2 0.840 0.676 0.164  -0.25
O3 0.164 0.840 0.676  -0.25
O4 0.512 0.676 0.836  -0.25
O5 0.324 0.836 0.160  -0.25
O6 0.836 0.160 0.324  -0.25
O7 0.836 0.512 0.676  -0.25
O8 0.676 0.164 0.840  -0.25
O9 0.488 0.324 0.164  -0.25
O10 0.324 0.164 0.488  -0.25
O11 0.160 0.324 0.836  -0.25
O12 0.164 0.488 0.324  -0.25
Na1 0.000 0.000 0.000  0.00
Be1 0.000 0.500 0.500  0.02
Be2 0.500 0.500 0.000  0.02
Be3 0.500 0.000 0.500  0.02

No. 2
NaBeCr2O8: optimized geometry, PBE+U.

Calculated values
DFT total energy   -6.2266 eV/atom
ρ   2.73 g/cm³

Cell lengths 4.942, 4.942, 8.099 Å; angles 72.23, 72.23, 60.00 degrees
Site moments in Bohr magnetons follow the coordinates.
Fractional coordinates of all 12 atoms:
O1 0.811 0.811 0.568  0.18
O2 0.780 0.995 0.858  0.14
O3 0.633 0.220 0.142  0.14
O4 0.189 0.189 0.432  0.18
O5 0.367 0.780 0.858  0.14
O6 0.005 0.633 0.142  0.14
O7 0.995 0.367 0.858  0.14
O8 0.220 0.005 0.142  0.14
Na1 0.500 0.500 0.500  0.00
Cr1 0.738 0.738 0.787  -0.17
Cr2 0.262 0.262 0.213  -0.17
Be1 0.000 0.000 0.000  0.00

Q: Which value of ρ does entry 2 give?
A: 2.73 g/cm³

Q: Among the records above, which one has the highest DFT total energy?
A: NaBeCr2O8